(1)
! CaSnIr2Rh | Alexandria via LeMat-Bulk | PBE | optimized geometry; values from VASP
&SYSTEM
  ibrav = 0, nat = 5, ntyp = 4
/
ATOMIC_SPECIES
Ca 40.08 Ca.upf
Ir 192.22 Ir.upf
Rh 102.91 Rh.upf
Sn 118.71 Sn.upf
ATOMIC_POSITIONS crystal
Ca 0.000 0.500 0.000
Ir 0.000 0.000 0.500
Ir 0.500 0.000 0.000
Rh 0.000 0.000 0.000
Sn 0.500 0.500 0.500
CELL_PARAMETERS angstrom
-1.211 -3.115 -3.469
3.408 -3.262 1.740
-3.328 -1.932 2.897
! - DFT total energy: -27.0 eV per cell
! - Space-group type: P4/mmm

=====

(2)
! Ac3Pr12Pb5 | Alexandria via LeMat-Bulk | PBE | optimized geometry; values from VASP
&SYSTEM
  ibrav = 0, nat = 80, ntyp = 3
/
ATOMIC_SPECIES
Ac 227.00 Ac.upf
Pb 207.20 Pb.upf
Pr 140.91 Pr.upf
ATOMIC_POSITIONS crystal
Ac 0.750 0.375 0.125
Ac 0.875 0.750 0.125
Ac 0.375 0.750 0.625
Ac 0.250 0.125 0.375
Ac 0.875 0.125 0.250
Ac 0.375 0.625 0.250
Ac 0.625 0.375 0.750
Ac 0.125 0.875 0.750
Ac 0.750 0.875 0.625
Ac 0.625 0.250 0.375
Ac 0.125 0.250 0.875
Ac 0.250 0.625 0.875
Pb 0.125 0.375 0.250
Pb 0.000 0.500 0.000
Pb 0.000 0.000 0.000
Pb 0.375 0.250 0.125
Pb 0.500 0.000 0.500
Pb 0.500 0.500 0.000
Pb 0.125 0.750 0.375
Pb 0.750 0.125 0.875
Pb 0.750 0.625 0.375
Pb 0.375 0.125 0.750
Pb 0.625 0.875 0.250
Pb 0.500 0.500 0.500
Pb 0.500 0.000 0.000
Pb 0.000 0.000 0.500
Pb 0.250 0.375 0.625
Pb 0.250 0.875 0.125
Pb 0.000 0.500 0.500
Pb 0.875 0.250 0.625
Pb 0.625 0.750 0.875
Pb 0.875 0.625 0.750
Pr 0.718 0.118 0.045
Pr 0.327 0.545 0.427
Pr 0.955 0.382 0.282
Pr 0.545 0.218 0.118
Pr 0.601 0.718 0.673
Pr 0.955 0.573 0.173
Pr 0.327 0.782 0.399
Pr 0.073 0.899 0.118
Pr 0.573 0.955 0.673
Pr 0.718 0.601 0.173
Pr 0.782 0.455 0.382
Pr 0.827 0.927 0.045
Pr 0.118 0.718 0.545
Pr 0.382 0.427 0.101
Pr 0.101 0.927 0.382
Pr 0.399 0.118 0.573
Pr 0.101 0.173 0.218
Pr 0.455 0.673 0.073
Pr 0.827 0.899 0.282
Pr 0.118 0.399 0.073
Pr 0.382 0.955 0.782
Pr 0.573 0.618 0.399
Pr 0.927 0.827 0.545
Pr 0.782 0.327 0.899
Pr 0.427 0.382 0.601
Pr 0.073 0.173 0.455
Pr 0.218 0.673 0.101
Pr 0.173 0.101 0.718
Pr 0.618 0.045 0.218
Pr 0.882 0.601 0.927
Pr 0.545 0.327 0.927
Pr 0.601 0.882 0.427
Pr 0.899 0.827 0.782
Pr 0.899 0.073 0.618
Pr 0.882 0.282 0.455
Pr 0.173 0.073 0.955
Pr 0.618 0.573 0.899
Pr 0.427 0.045 0.327
Pr 0.282 0.399 0.827
Pr 0.218 0.545 0.618
Pr 0.927 0.101 0.882
Pr 0.673 0.218 0.601
Pr 0.455 0.782 0.882
Pr 0.045 0.427 0.827
Pr 0.399 0.282 0.327
Pr 0.045 0.618 0.718
Pr 0.673 0.455 0.573
Pr 0.282 0.882 0.955
CELL_PARAMETERS angstrom
16.661 0.000 0.000
-5.554 15.708 0.000
-5.554 -7.854 13.603
! - DFT total energy: -326.1 eV per cell
! - Space-group type: Ia-3d

=====

(3)
! ThSe2Br4 | Alexandria via LeMat-Bulk | PBE | optimized geometry; values from VASP
&SYSTEM
  ibrav = 0, nat = 7, ntyp = 3
/
ATOMIC_SPECIES
Th 232.04 Th.upf
Se 78.96 Se.upf
Br 79.90 Br.upf
ATOMIC_POSITIONS crystal
Th 0.000 0.000 0.000
Se 0.248 0.585 0.495
Se 0.752 0.415 0.505
Br 0.098 0.889 0.205
Br 0.902 0.111 0.795
Br 0.444 0.700 0.890
Br 0.556 0.300 0.110
CELL_PARAMETERS angstrom
-2.667 -3.233 0.245
5.381 -4.313 1.119
-2.747 5.662 9.908
! - ΔE_f (raw): -1.10 eV/atom
! - Space-group type: P-1

=====

(4)
! Na3Tl2Cd2 | Alexandria via LeMat-Bulk | PBE | optimized geometry; values from VASP
&SYSTEM
  ibrav = 0, nat = 7, ntyp = 3
/
ATOMIC_SPECIES
Na 22.99 Na.upf
Tl 204.38 Tl.upf
Cd 112.41 Cd.upf
ATOMIC_POSITIONS crystal
Na 0.000 0.000 0.000
Na 0.704 0.204 0.407
Na 0.296 0.796 0.593
Tl 0.571 0.571 0.142
Tl 0.429 0.429 0.858
Cd 0.145 0.645 0.290
Cd 0.855 0.355 0.710
CELL_PARAMETERS angstrom
-4.575 -1.224 -2.005
1.596 -1.460 -2.751
1.756 -8.193 7.591
! - Space-group type: Immm
! - Relative energy among the computed polymorphs: 0.021 eV/atom

=====

(5)
! CsCdBi | Alexandria via LeMat-Bulk | PBE | optimized geometry; values from VASP
&SYSTEM
  ibrav = 0, nat = 6, ntyp = 3
/
ATOMIC_SPECIES
Cs 132.91 Cs.upf
Bi 208.98 Bi.upf
Cd 112.41 Cd.upf
ATOMIC_POSITIONS crystal
Cs 0.252 0.458 0.895
Cs 0.748 0.958 0.105
Bi 0.250 0.985 0.664
Bi 0.750 0.485 0.336
Cd 0.249 0.670 0.434
Cd 0.751 0.170 0.566
CELL_PARAMETERS angstrom
-3.065 2.489 3.026
3.076 -3.670 6.133
4.846 5.194 0.677
! - DFT total energy: -13.0 eV per cell
! - Space-group type: P2_1

=====

(6)
! TlCuAs2Se | Alexandria via LeMat-Bulk | PBE | optimized geometry; values from VASP
&SYSTEM
  ibrav = 0, nat = 5, ntyp = 4
/
ATOMIC_SPECIES
Tl 204.38 Tl.upf
Cu 63.55 Cu.upf
As 74.92 As.upf
Se 78.96 Se.upf
ATOMIC_POSITIONS crystal
Tl 0.500 0.500 0.500
Cu 0.000 0.000 0.000
As 0.000 0.500 0.000
As 0.500 0.000 0.000
Se 0.000 0.000 0.500
CELL_PARAMETERS angstrom
4.782 0.000 0.000
0.000 4.782 0.000
0.000 0.000 5.180
! - ΔE_f (raw): 0.40 eV/atom
! - Space-group type: P4/mmm
! - Relative energy among the computed polymorphs: 0.000 eV/atom

=====

What did the fifth record say?
! CsCdBi | Alexandria via LeMat-Bulk | PBE | optimized geometry; values from VASP
&SYSTEM
  ibrav = 0, nat = 6, ntyp = 3
/
ATOMIC_SPECIES
Cs 132.91 Cs.upf
Bi 208.98 Bi.upf
Cd 112.41 Cd.upf
ATOMIC_POSITIONS crystal
Cs 0.252 0.458 0.895
Cs 0.748 0.958 0.105
Bi 0.250 0.985 0.664
Bi 0.750 0.485 0.336
Cd 0.249 0.670 0.434
Cd 0.751 0.170 0.566
CELL_PARAMETERS angstrom
-3.065 2.489 3.026
3.076 -3.670 6.133
4.846 5.194 0.677
! - DFT total energy: -13.0 eV per cell
! - Space-group type: P2_1